(1)
# PrScZnRu | the Alexandria database | PBE-GGA | relaxed
# total magnetic moment = 0.00 μB per formula unit
# E_form = -247.3 meV per atom
# electronic total energy = -90.60 eV per cell
# volume = 20.72 Å³/atom
data_PrScZnRu
_chemical_formula_sum 'Pr4 Sc4 Zn4 Ru4'
_symmetry_space_group_name_H-M 'P 1'
_symmetry_Int_Tables_number 1
_cell_length_a 6.921
_cell_length_b 6.921
_cell_length_c 6.921
_cell_angle_alpha 90.00
_cell_angle_beta 90.00
_cell_angle_gamma 90.00
loop_
_symmetry_equiv_pos_as_xyz
'x,y,z'
loop_
_atom_site_label
_atom_site_fract_x
_atom_site_fract_y
_atom_site_fract_z
Pr1 0.000 0.000 0.000
Pr2 0.000 0.500 0.500
Pr3 0.500 0.000 0.500
Pr4 0.500 0.500 0.000
Sc1 0.000 0.000 0.500
Sc2 0.000 0.500 0.000
Sc3 0.500 0.000 0.000
Sc4 0.500 0.500 0.500
Zn1 0.250 0.250 0.750
Zn2 0.250 0.750 0.250
Zn3 0.750 0.250 0.250
Zn4 0.750 0.750 0.750
Ru1 0.250 0.250 0.250
Ru2 0.250 0.750 0.750
Ru3 0.750 0.250 0.750
Ru4 0.750 0.750 0.250

(2)
# Pr4RuSe3 | the Alexandria database | PBE-GGA | relaxed
# total magnetic moment = 0.00 μB per formula unit
# E_form (uncorrected) = -1.39 eV/atom
# electronic total energy = -100.01 eV per cell
# volume = 27.91 Å³/atom
data_Pr4RuSe3
_chemical_formula_sum 'Pr8 Ru2 Se6'
_symmetry_space_group_name_H-M 'P 1'
_symmetry_Int_Tables_number 1
_cell_length_a 7.577
_cell_length_b 8.582
_cell_length_c 7.286
_cell_angle_alpha 90.00
_cell_angle_beta 109.50
_cell_angle_gamma 90.00
loop_
_symmetry_equiv_pos_as_xyz
'x,y,z'
loop_
_atom_site_label
_atom_site_fract_x
_atom_site_fract_y
_atom_site_fract_z
Pr1 0.231 0.116 0.002
Pr2 0.231 0.884 0.502
Pr3 0.235 0.353 0.480
Pr4 0.235 0.647 0.980
Pr5 0.765 0.353 0.020
Pr6 0.765 0.647 0.520
Pr7 0.769 0.116 0.498
Pr8 0.769 0.884 0.998
Ru1 0.000 0.123 0.250
Ru2 0.000 0.877 0.750
Se1 0.000 0.381 0.750
Se2 0.000 0.619 0.250
Se3 0.500 0.126 0.750
Se4 0.500 0.383 0.250
Se5 0.500 0.617 0.750
Se6 0.500 0.874 0.250

(3)
# Pr2RuSe | the Alexandria database | PBE-GGA | relaxed
# total magnetic moment = 0.00 μB per formula unit
# distance to the lowest polymorph of the same formula = 0.000 eV per atom
# E_form (uncorrected) = -0.83 eV/atom
# electronic total energy = -25.62 eV per cell
# volume = 24.17 Å³/atom
data_Pr2RuSe
_chemical_formula_sum 'Pr2 Ru1 Se1'
_symmetry_space_group_name_H-M 'P 1'
_symmetry_Int_Tables_number 1
_cell_length_a 3.586
_cell_length_b 3.586
_cell_length_c 7.517
_cell_angle_alpha 90.00
_cell_angle_beta 90.00
_cell_angle_gamma 90.00
loop_
_symmetry_equiv_pos_as_xyz
'x,y,z'
loop_
_atom_site_label
_atom_site_fract_x
_atom_site_fract_y
_atom_site_fract_z
Pr1 0.000 0.000 0.235
Pr2 0.000 0.000 0.765
Ru1 0.500 0.500 0.000
Se1 0.500 0.500 0.500

(4)
# Pr2RuSe | the Alexandria database | PBE-GGA | relaxed
# total magnetic moment = 0.00 μB per formula unit
# distance to the lowest polymorph of the same formula = 0.034 eV per atom
# E_form (uncorrected) = -0.79 eV/atom
# electronic total energy = -76.46 eV per cell
# volume = 27.23 Å³/atom
data_Pr2RuSe
_chemical_formula_sum 'Pr6 Ru3 Se3'
_symmetry_space_group_name_H-M 'P 1'
_symmetry_Int_Tables_number 1
_cell_length_a 4.160
_cell_length_b 4.160
_cell_length_c 21.805
_cell_angle_alpha 90.00
_cell_angle_beta 90.00
_cell_angle_gamma 120.00
loop_
_symmetry_equiv_pos_as_xyz
'x,y,z'
loop_
_atom_site_label
_atom_site_fract_x
_atom_site_fract_y
_atom_site_fract_z
Pr1 0.000 0.000 0.243
Pr2 0.000 0.000 0.757
Pr3 0.333 0.667 0.424
Pr4 0.333 0.667 0.909
Pr5 0.667 0.333 0.091
Pr6 0.667 0.333 0.576
Ru1 0.000 0.000 0.500
Ru2 0.333 0.667 0.167
Ru3 0.667 0.333 0.833
Se1 0.000 0.000 0.000
Se2 0.333 0.667 0.667
Se3 0.667 0.333 0.333

(5)
# Pr5RuSe4 | the Alexandria database | PBE-GGA | relaxed
# total magnetic moment = 0.00 μB per formula unit
# E_form (uncorrected) = -1.47 eV/atom
# electronic total energy = -61.83 eV per cell
# volume = 27.78 Å³/atom
data_Pr5RuSe4
_chemical_formula_sum 'Pr5 Ru1 Se4'
_symmetry_space_group_name_H-M 'P 1'
_symmetry_Int_Tables_number 1
_cell_length_a 7.409
_cell_length_b 7.409
_cell_length_c 7.409
_cell_angle_alpha 99.72
_cell_angle_beta 99.72
_cell_angle_gamma 131.47
loop_
_symmetry_equiv_pos_as_xyz
'x,y,z'
loop_
_atom_site_label
_atom_site_fract_x
_atom_site_fract_y
_atom_site_fract_z
Pr1 0.000 0.000 0.000
Pr2 0.221 0.406 0.626
Pr3 0.406 0.779 0.185
Pr4 0.594 0.221 0.815
Pr5 0.779 0.594 0.374
Ru1 0.500 0.500 0.000
Se1 0.094 0.695 0.789
Se2 0.305 0.094 0.399
Se3 0.695 0.906 0.601
Se4 0.906 0.305 0.211

(6)
# Pr8Te4RuSe3 | the Alexandria database | PBE-GGA | relaxed
# total magnetic moment = 0.00 μB per formula unit
# E_form (uncorrected) = -1.44 eV/atom
# electronic total energy = -93.58 eV per cell
# volume = 30.41 Å³/atom
data_Pr8Te4RuSe3
_chemical_formula_sum 'Pr8 Te4 Ru1 Se3'
_symmetry_space_group_name_H-M 'P 1'
_symmetry_Int_Tables_number 1
_cell_length_a 8.885
_cell_length_b 8.885
_cell_length_c 8.885
_cell_angle_alpha 59.16
_cell_angle_beta 59.16
_cell_angle_gamma 59.16
loop_
_symmetry_equiv_pos_as_xyz
'x,y,z'
loop_
_atom_site_label
_atom_site_fract_x
_atom_site_fract_y
_atom_site_fract_z
Pr1 0.242 0.242 0.242
Pr2 0.257 0.730 0.730
Pr3 0.270 0.270 0.743
Pr4 0.270 0.743 0.270
Pr5 0.730 0.257 0.730
Pr6 0.730 0.730 0.257
Pr7 0.743 0.270 0.270
Pr8 0.758 0.758 0.758
Te1 0.000 0.000 0.000
Te2 0.000 0.500 0.500
Te3 0.500 0.000 0.500
Te4 0.500 0.500 0.000
Ru1 0.500 0.500 0.500
Se1 0.000 0.000 0.500
Se2 0.000 0.500 0.000
Se3 0.500 0.000 0.000

Among the records above, which one has the lowest electronic total energy? Pr4RuSe3

total magnetic moment of number 5 (Pr5RuSe4)? 0.00 μB per formula unit

Please write out number 3 again, unchanged.
# Pr2RuSe | the Alexandria database | PBE-GGA | relaxed
# total magnetic moment = 0.00 μB per formula unit
# distance to the lowest polymorph of the same formula = 0.000 eV per atom
# E_form (uncorrected) = -0.83 eV/atom
# electronic total energy = -25.62 eV per cell
# volume = 24.17 Å³/atom
data_Pr2RuSe
_chemical_formula_sum 'Pr2 Ru1 Se1'
_symmetry_space_group_name_H-M 'P 1'
_symmetry_Int_Tables_number 1
_cell_length_a 3.586
_cell_length_b 3.586
_cell_length_c 7.517
_cell_angle_alpha 90.00
_cell_angle_beta 90.00
_cell_angle_gamma 90.00
loop_
_symmetry_equiv_pos_as_xyz
'x,y,z'
loop_
_atom_site_label
_atom_site_fract_x
_atom_site_fract_y
_atom_site_fract_z
Pr1 0.000 0.000 0.235
Pr2 0.000 0.000 0.765
Ru1 0.500 0.500 0.000
Se1 0.500 0.500 0.500